Compound: Y2MgVAu
Source: Alexandria
Functional: PBE
Structure: optimized geometry

```
Y2MgVAu
1.0
-4.510 1.679 1.581
1.449 -0.661 4.838
1.800 4.733 0.108
Y V Mg Au
2 1 1 1
Cartesian
0.900 2.367 0.054
-2.255 0.840 0.790
0.000 0.000 0.000
0.725 -0.331 2.419
-0.630 2.876 3.263
```

Computed properties:
N(E_F)   0.803 states/eV per atom
E_form   0.503 eV/atom